Material: Er2Zr2O7
Method: DFT, PBEsol
State: optimized geometry

Cell and atoms, written as extended XYZ:
```
22
Lattice="0.000 5.185 5.185 5.185 0.000 5.185 5.185 5.185 0.000" Properties=species:S:1:pos:R:3 pbc="T T T"
Er 0.000 0.000 0.000
Er 2.593 2.593 0.000
Er 2.593 0.000 2.593
Er 0.000 2.593 2.593
Zr 5.185 2.593 2.593
Zr 2.593 5.185 2.593
Zr 2.593 2.593 5.185
Zr 5.185 5.185 5.185
O 1.296 1.296 1.296
O 3.889 3.889 1.626
O 3.889 1.626 3.889
O 6.152 3.889 3.889
O 6.482 6.482 4.218
O 6.482 4.218 6.482
O 8.745 6.482 6.482
O 1.626 3.889 3.889
O 3.889 6.152 3.889
O 3.889 3.889 6.152
O 4.218 6.482 6.482
O 6.482 8.745 6.482
O 6.482 6.482 8.745
O 9.075 9.075 9.075
```

* space group: No. 227
* crystal system: cubic
* formation energy (no corrections): -38.74 eV/f.u.

Material: Er4Zr3O12
Method: DFT, PBEsol
State: optimized geometry

Cell and atoms, written as extended XYZ:
```
38
Lattice="6.290 0.000 0.000 -1.039 6.268 0.000 -2.032 -2.407 12.209" Properties=species:S:1:pos:R:3 pbc="T T T"
Er -0.246 -0.124 4.910
Er -0.595 0.803 8.322
Er 0.502 1.996 2.211
Er -0.391 2.067 11.558
Er 3.611 1.793 0.652
Er 2.718 1.865 9.998
Er 3.815 3.058 3.887
Er 3.466 3.984 7.300
Zr -1.294 -1.281 11.042
Zr 0.616 3.164 5.444
Zr 0.546 4.431 9.126
Zr 2.674 -0.570 3.083
Zr 2.604 0.697 6.765
Zr 4.513 5.142 1.168
O -2.407 2.890 11.743
O -1.697 0.597 10.280
O -1.247 4.023 5.642
O -0.576 1.889 4.171
O -0.399 -1.358 8.757
O 0.693 -0.248 2.512
O 1.504 2.483 0.358
O 0.528 1.367 6.518
O 0.760 -1.713 11.079
O 1.369 3.637 3.549
O 0.399 2.393 9.510
O 1.987 -0.338 5.023
O 1.233 4.199 7.186
O 2.820 1.468 2.699
O 1.851 0.224 8.660
O 2.460 5.574 1.131
O 2.691 2.494 5.692
O 1.716 1.378 11.852
O 2.527 4.108 9.698
O 3.619 5.218 3.453
O 3.795 1.972 8.038
O 4.467 -0.162 6.567
O 4.917 3.263 1.929
O 5.626 0.971 0.466
```

* space group: No. 2
* crystal system: triclinic
* formation energy (no corrections): -68.80 eV/f.u.

Material: Er2Zr2O7
Method: DFT, PBEsol
State: optimized geometry

Cell and atoms, written as extended XYZ:
```
11
Lattice="3.434 -4.643 0.000 3.434 4.643 0.000 -0.935 0.000 5.443" Properties=species:S:1:pos:R:3 pbc="T T T"
Er 3.434 2.873 0.000
Er 3.434 -2.873 0.000
Zr 1.100 0.000 3.263
Zr 4.834 0.000 2.181
O 0.143 0.000 1.441
O 1.084 1.642 4.354
O 1.084 -1.642 4.354
O 2.967 0.000 2.722
O 4.850 1.642 1.089
O 4.850 -1.642 1.089
O 5.791 0.000 4.002
```

* space group: No. 12
* crystal system: monoclinic
* formation energy (no corrections): -38.22 eV/f.u.

Material: Er3Si13Os4
Method: DFT, PBEsol
State: optimized geometry

Cell and atoms, written as extended XYZ:
```
40
Lattice="8.704 0.000 0.000 0.000 8.704 0.000 0.000 0.000 8.704" Properties=species:S:1:pos:R:3 pbc="T T T"
Er 0.000 2.176 4.352
Er 0.000 6.528 4.352
Er 2.176 4.352 0.000
Er 4.352 0.000 2.176
Er 4.352 0.000 6.528
Er 6.528 4.352 0.000
Si 0.000 0.000 0.000
Si 0.000 2.468 1.210
Si 0.000 2.468 7.494
Si 0.000 6.237 1.210
Si 0.000 6.237 7.494
Si 1.210 0.000 2.468
Si 1.210 0.000 6.237
Si 1.884 4.352 3.142
Si 1.884 4.352 5.562
Si 2.468 1.210 0.000
Si 2.468 7.494 0.000
Si 3.142 1.884 4.352
Si 3.142 6.820 4.352
Si 4.352 3.142 1.884
Si 4.352 3.142 6.820
Si 4.352 4.352 4.352
Si 4.352 5.562 1.884
Si 4.352 5.562 6.820
Si 5.562 1.884 4.352
Si 5.562 6.820 4.352
Si 6.237 1.210 0.000
Si 6.237 7.494 0.000
Si 6.820 4.352 3.142
Si 6.820 4.352 5.562
Si 7.494 0.000 2.468
Si 7.494 0.000 6.237
Os 2.176 2.176 2.176
Os 2.176 2.176 6.528
Os 2.176 6.528 2.176
Os 2.176 6.528 6.528
Os 6.528 2.176 2.176
Os 6.528 2.176 6.528
Os 6.528 6.528 2.176
Os 6.528 6.528 6.528
```

* space group: No. 223
* crystal system: cubic
* formation energy (no corrections): -10.51 eV/f.u.

Material: ErSi2Os2
Method: DFT, PBEsol
State: optimized geometry

Cell and atoms, written as extended XYZ:
```
5
Lattice="-2.055 2.055 4.789 2.055 -2.055 4.789 2.055 2.055 -4.789" Properties=species:S:1:pos:R:3 pbc="T T T"
Er 0.000 0.000 0.000
Si 0.000 0.000 3.585
Si 0.000 0.000 5.993
Os 2.055 0.000 2.395
Os 0.000 2.055 2.395
```

* space group: No. 139
* crystal system: tetragonal
* formation energy (no corrections): -3.73 eV/f.u.

Material: ErPPd
Method: DFT, PBEsol
State: optimized geometry

Cell and atoms, written as extended XYZ:
```
12
Lattice="6.747 0.000 0.000 0.000 3.939 0.000 0.000 0.000 7.617" Properties=species:S:1:pos:R:3 pbc="T T T"
Er 0.197 0.985 1.417
Er 3.176 2.954 5.226
Er 3.571 0.985 2.391
Er 6.549 2.954 6.200
P 1.669 2.954 2.870
P 1.705 0.985 6.679
P 5.042 2.954 0.939
P 5.078 0.985 4.747
Pd 0.979 0.985 4.273
Pd 2.394 2.954 0.465
Pd 4.353 0.985 7.153
Pd 5.767 2.954 3.344
```

* space group: No. 62
* crystal system: orthorhombic

no.,density (g/cm³),N(E_F) (states/eV per cell),electronic total energy (eV/atom)
1,7.5,0.0,-9.41
2,7.8,0.0,-9.41
3,6.0,0.0,-9.36
4,8.2,12.4,-7.44
5,12.4,3.1,-8.92
6,10.0,0.3,-6.90